Record 1
{"formula": "Sm2Au5F21", "functional": "GGA-PBE", "state": "optimized geometry", "dft_energy_ev_per_atom": -4.235, "crystal_system": "tetragonal", "sg": "P4_12_12", "cell": [[-5.739, 1.057, -6.000], [5.295, -3.211, -5.630], [-9.422, -23.943, 4.793]], "species": ["F", "F", "F", "F", "F", "F", "F", "F", "F", "F", "F", "F", "F", "F", "F", "F", "F", "F", "F", "F", "F", "F", "F", "F", "F", "F", "F", "F", "F", "F", "F", "F", "F", "F", "F", "F", "F", "F", "F", "F", "F", "F", "F", "F", "F", "F", "F", "F", "F", "F", "F", "F", "F", "F", "F", "F", "F", "F", "F", "F", "F", "F", "F", "F", "F", "F", "F", "F", "F", "F", "F", "F", "F", "F", "F", "F", "F", "F", "F", "F", "F", "F", "F", "F", "Au", "Au", "Au", "Au", "Au", "Au", "Au", "Au", "Au", "Au", "Au", "Au", "Au", "Au", "Au", "Au", "Au", "Au", "Au", "Au", "Sm", "Sm", "Sm", "Sm", "Sm", "Sm", "Sm", "Sm"], "fractional_positions": [[0.712, 0.087, 0.948], [0.796, 0.561, 0.501], [0.360, 0.524, 0.892], [0.170, 0.453, 0.310], [0.806, 0.904, 0.631], [0.278, 0.722, 0.750], [0.326, 0.934, 0.835], [0.976, 0.860, 0.142], [0.299, 0.914, 0.661], [0.904, 0.806, 0.369], [0.435, 0.674, 0.999], [0.222, 0.407, 0.696], [0.935, 0.826, 0.751], [0.524, 0.360, 0.108], [0.204, 0.439, 0.001], [0.201, 0.414, 0.589], [0.330, 0.953, 0.940], [0.640, 0.476, 0.392], [0.188, 0.459, 0.207], [0.826, 0.566, 0.915], [0.561, 0.796, 0.499], [0.288, 0.913, 0.448], [0.688, 0.041, 0.543], [0.812, 0.541, 0.707], [0.586, 0.799, 0.911], [0.674, 0.435, 0.001], [0.674, 0.066, 0.335], [0.593, 0.778, 0.804], [0.547, 0.830, 0.190], [0.212, 0.413, 0.802], [0.459, 0.188, 0.793], [0.939, 0.296, 0.751], [0.194, 0.096, 0.131], [0.414, 0.201, 0.411], [0.565, 0.326, 0.499], [0.670, 0.047, 0.440], [0.174, 0.434, 0.415], [0.778, 0.778, 0.000], [0.413, 0.212, 0.198], [0.722, 0.278, 0.250], [0.222, 0.222, 0.500], [0.959, 0.312, 0.957], [0.476, 0.640, 0.608], [0.913, 0.288, 0.552], [0.086, 0.701, 0.839], [0.722, 0.093, 0.054], [0.061, 0.704, 0.251], [0.326, 0.565, 0.501], [0.096, 0.194, 0.869], [0.024, 0.140, 0.642], [0.701, 0.086, 0.161], [0.778, 0.593, 0.196], [0.140, 0.024, 0.358], [0.407, 0.222, 0.304], [0.934, 0.326, 0.165], [0.953, 0.330, 0.060], [0.404, 0.694, 0.381], [0.799, 0.586, 0.089], [0.174, 0.065, 0.749], [0.296, 0.939, 0.249], [0.830, 0.547, 0.810], [0.306, 0.596, 0.119], [0.914, 0.299, 0.339], [0.541, 0.812, 0.293], [0.439, 0.204, 0.999], [0.041, 0.688, 0.457], [0.278, 0.907, 0.554], [0.596, 0.306, 0.881], [0.860, 0.976, 0.858], [0.587, 0.788, 0.698], [0.907, 0.278, 0.446], [0.093, 0.722, 0.946], [0.312, 0.959, 0.043], [0.047, 0.670, 0.560], [0.694, 0.404, 0.619], [0.704, 0.061, 0.749], [0.066, 0.674, 0.665], [0.826, 0.935, 0.249], [0.566, 0.826, 0.085], [0.434, 0.174, 0.585], [0.788, 0.587, 0.302], [0.453, 0.170, 0.690], [0.065, 0.174, 0.251], [0.087, 0.712, 0.052], [0.356, 0.405, 0.157], [0.905, 0.144, 0.907], [0.095, 0.856, 0.407], [0.211, 0.823, 0.889], [0.062, 0.938, 0.250], [0.562, 0.562, 0.500], [0.644, 0.595, 0.657], [0.711, 0.677, 0.861], [0.677, 0.711, 0.139], [0.144, 0.905, 0.093], [0.438, 0.438, 0.000], [0.938, 0.062, 0.750], [0.856, 0.095, 0.593], [0.405, 0.356, 0.843], [0.595, 0.644, 0.343], [0.177, 0.789, 0.611], [0.823, 0.211, 0.111], [0.323, 0.289, 0.639], [0.289, 0.323, 0.361], [0.789, 0.177, 0.389], [0.945, 0.429, 0.252], [0.055, 0.571, 0.752], [0.929, 0.555, 0.002], [0.429, 0.945, 0.748], [0.555, 0.929, 0.998], [0.071, 0.445, 0.502], [0.445, 0.071, 0.498], [0.571, 0.055, 0.248]]}

=====

Record 2
{"formula": "SnAu2F", "functional": "GGA-PBE", "state": "optimized geometry", "dft_energy_ev_per_atom": -3.637, "crystal_system": "tetragonal", "sg": "I-42d", "dos_ef_per_ev_fu": 1.36, "e_above_lowest_polymorph_ev_per_atom": 0.000, "cell": [[7.717, 0.000, 0.000], [0.000, 7.717, 0.000], [3.858, 3.858, 2.650]], "species": ["Sn", "Sn", "Au", "Au", "Au", "Au", "F", "F"], "fractional_positions": [[0.000, 0.000, 0.000], [0.750, 0.250, 0.500], [0.875, 0.869, 0.750], [0.131, 0.625, 0.250], [0.375, 0.381, 0.750], [0.619, 0.125, 0.250], [0.250, 0.750, 0.500], [0.500, 0.500, 0.000]]}

=====

Record 3
{"formula": "Sn3AuF", "functional": "GGA-PBE", "state": "optimized geometry", "dft_energy_ev_per_atom": -3.694, "crystal_system": "cubic", "sg": "Pm-3m", "dos_ef_per_ev_fu": 2.34, "e_above_lowest_polymorph_ev_per_atom": 0.000, "cell": [[4.916, 0.000, 0.000], [0.000, 4.916, 0.000], [0.000, 0.000, 4.916]], "species": ["Au", "F", "Sn", "Sn", "Sn"], "fractional_positions": [[0.500, 0.500, 0.500], [0.000, 0.000, 0.000], [0.000, 0.500, 0.000], [0.500, 0.000, 0.000], [0.000, 0.000, 0.500]]}

=====

Record 4
{"formula": "Sn3AuF", "functional": "GGA-PBE", "state": "optimized geometry", "dft_energy_ev_per_atom": -3.360, "crystal_system": "cubic", "sg": "Pm-3m", "dos_ef_per_ev_fu": 4.01, "e_above_lowest_polymorph_ev_per_atom": 0.334, "cell": [[-1.086, -3.484, -3.996], [5.151, 0.271, -1.636], [1.253, -4.132, 3.262]], "species": ["Sn", "Sn", "Sn", "F", "Au"], "fractional_positions": [[0.500, 0.000, 0.000], [0.000, 0.500, 0.000], [0.000, 0.000, 0.500], [0.500, 0.500, 0.500], [0.000, 0.000, 0.000]]}

=====

Record 5
{"formula": "SnAu3F", "functional": "GGA-PBE", "state": "optimized geometry", "dft_energy_ev_per_atom": -2.746, "crystal_system": "cubic", "sg": "Pm-3m", "dos_ef_per_ev_fu": 8.44, "e_above_lowest_polymorph_ev_per_atom": 0.183, "cell": [[-2.151, 2.745, -3.888], [-1.878, -4.410, -2.075], [-4.373, 0.543, 2.803]], "species": ["Au", "Au", "Au", "Sn", "F"], "fractional_positions": [[0.000, 0.500, 0.000], [0.000, 0.000, 0.500], [0.500, 0.000, 0.000], [0.000, 0.000, 0.000], [0.500, 0.500, 0.500]]}

=====

Record 6
{"formula": "SnAu3F", "functional": "GGA-PBE", "state": "optimized geometry", "dft_energy_ev_per_atom": -2.930, "crystal_system": "cubic", "sg": "Pm-3m", "dos_ef_per_ev_fu": 2.50, "e_above_lowest_polymorph_ev_per_atom": 0.000, "cell": [[4.692, 0.000, 0.000], [0.000, 4.692, 0.000], [0.000, 0.000, 4.692]], "species": ["Au", "Au", "Au", "F", "Sn"], "fractional_positions": [[0.000, 0.500, 0.000], [0.000, 0.000, 0.500], [0.500, 0.000, 0.000], [0.000, 0.000, 0.000], [0.500, 0.500, 0.500]]}

=====

Record 7
{"formula": "SnAuF3", "functional": "GGA-PBE", "state": "optimized geometry", "dft_energy_ev_per_atom": -3.885, "crystal_system": "cubic", "sg": "Pm-3m", "dos_ef_per_ev_fu": 3.42, "e_above_lowest_polymorph_ev_per_atom": 0.000, "cell": [[4.476, 0.000, 0.000], [0.000, 4.476, 0.000], [0.000, 0.000, 4.476]], "species": ["Au", "F", "F", "F", "Sn"], "fractional_positions": [[0.500, 0.500, 0.500], [0.000, 0.000, 0.500], [0.000, 0.500, 0.000], [0.500, 0.000, 0.000], [0.000, 0.000, 0.000]]}

=====

Record 8
{"formula": "SnAuF3", "functional": "GGA-PBE", "state": "optimized geometry", "dft_energy_ev_per_atom": -3.464, "crystal_system": "cubic", "sg": "Pm-3m", "dos_ef_per_ev_fu": 4.30, "e_above_lowest_polymorph_ev_per_atom": 0.421, "cell": [[4.527, 0.000, 0.000], [0.000, 4.527, 0.000], [0.000, 0.000, 4.527]], "species": ["Sn", "F", "F", "F", "Au"], "fractional_positions": [[0.500, 0.500, 0.500], [0.000, 0.500, 0.000], [0.500, 0.000, 0.000], [0.000, 0.000, 0.500], [0.000, 0.000, 0.000]]}

=====

Record 9
{"formula": "SnAu2F", "functional": "GGA-PBE", "state": "optimized geometry", "dft_energy_ev_per_atom": -3.480, "crystal_system": "cubic", "sg": "Fm-3m", "dos_ef_per_ev_fu": 1.35, "e_above_lowest_polymorph_ev_per_atom": 0.158, "cell": [[-0.077, -3.422, -3.198], [-4.009, -1.097, -2.161], [-0.579, 1.041, -4.530]], "species": ["Sn", "F", "Au", "Au"], "fractional_positions": [[0.500, 0.500, 0.500], [0.000, 0.000, 0.000], [0.750, 0.750, 0.750], [0.250, 0.250, 0.250]]}

=====

Record 10
{"formula": "Ta2SnAuF", "functional": "GGA-PBE", "state": "optimized geometry", "dft_energy_ev_per_atom": -5.549, "crystal_system": "tetragonal", "sg": "P4/mmm", "dos_ef_per_ev_fu": 6.45, "cell": [[-2.900, 2.148, -3.834], [-3.355, -1.535, 1.678], [-0.563, 4.374, 2.876]], "species": ["Sn", "Au", "Ta", "Ta", "F"], "fractional_positions": [[0.000, 0.000, 0.000], [0.500, 0.500, 0.500], [0.000, 0.000, 0.500], [0.500, 0.000, 0.000], [0.000, 0.500, 0.000]]}

=====

Record 11
{"formula": "SrAuF3", "functional": "GGA-PBE", "state": "optimized geometry", "dft_energy_ev_per_atom": -4.225, "crystal_system": "cubic", "sg": "Pm-3m", "dos_ef_per_ev_fu": 0.00, "e_above_lowest_polymorph_ev_per_atom": 0.000, "cell": [[-3.787, 2.567, -1.097], [-1.237, -3.201, -3.218], [-2.503, -2.302, 3.251]], "species": ["Au", "F", "F", "F", "Sr"], "fractional_positions": [[0.500, 0.500, 0.500], [0.000, 0.000, 0.500], [0.500, 0.000, 0.000], [0.000, 0.500, 0.000], [0.000, 0.000, 0.000]]}

=====

Record 12
{"formula": "SrAu2F", "functional": "GGA-PBE", "state": "optimized geometry", "dft_energy_ev_per_atom": -3.181, "crystal_system": "cubic", "sg": "Fm-3m", "dos_ef_per_ev_fu": 5.43, "e_above_lowest_polymorph_ev_per_atom": 0.860, "cell": [[0.000, 3.574, 3.574], [3.574, 0.000, 3.574], [3.574, 3.574, 0.000]], "species": ["Au", "Au", "F", "Sr"], "fractional_positions": [[0.250, 0.250, 0.250], [0.750, 0.750, 0.750], [0.000, 0.000, 0.000], [0.500, 0.500, 0.500]]}

=====

Let's list formation energy from raw total energies in order: -1.909; -0.530; -0.263; 0.071; 0.395; 0.212; -1.306; -0.886; -0.372; 1.023; -2.110; -0.654 eV/atom.
Let's list theoretical density in order: 6.1; 11.2; 8.0; 6.0; 8.5; 11.7; 6.9; 6.7; 12.1; 10.3; 5.4; 9.1 g/cm³.